Entry 1:
{"formula": "CsTcAs", "functional": "PBE", "state": "optimized geometry", "cell": [[-2.4689, 2.6344, 3.9379], [-4.0718, 3.2730, -1.1184], [-4.9747, -1.3477, 1.4068]], "species": ["Tc", "Cs", "As"], "frac_coords": [[0.7500, 0.7500, 0.7500], [0.0000, 0.0000, 0.0000], [0.2500, 0.2500, 0.2500]], "spacegroup": "No. 216", "relative_energy_mev_per_atom": 958.8, "e_tot_ev_per_fu": -9.62, "vol_a3_per_atom": 35.9}

***

Entry 2:
{"formula": "CsCuSb2S4", "functional": "PBE", "state": "optimized geometry", "cell": [[3.8546, -5.6418, 0.0000], [3.8546, 5.6418, 0.0000], [-2.7373, 0.0000, 10.5195]], "species": ["S", "S", "S", "S", "S", "S", "S", "S", "Cu", "Cu", "Sb", "Sb", "Sb", "Sb", "Cs", "Cs"], "frac_coords": [[0.2721, 0.3587, 0.0668], [0.9195, 0.4596, 0.6430], [0.3587, 0.2721, 0.5668], [0.6413, 0.7279, 0.4332], [0.7279, 0.6413, 0.9332], [0.4596, 0.9195, 0.1430], [0.0805, 0.5404, 0.3570], [0.5404, 0.0805, 0.8570], [0.6068, 0.3932, 0.7500], [0.3932, 0.6068, 0.2500], [0.6096, 0.3015, 0.0711], [0.6985, 0.3904, 0.4289], [0.3015, 0.6096, 0.5711], [0.3904, 0.6985, 0.9289], [0.0138, 0.9862, 0.2500], [0.9862, 0.0138, 0.7500]], "spacegroup": "No. 15", "e_tot_ev_per_fu": -33.41, "vol_a3_per_atom": 28.6}

***

Entry 3:
{"formula": "ZnB2Ir", "functional": "PBE", "state": "optimized geometry", "cell": [[-3.6554, -1.4793, 0.4785], [-2.8193, 0.7623, -2.6926], [-1.2994, -2.8952, -2.3892]], "species": ["Ir", "B", "B", "Zn"], "frac_coords": [[0.5000, 0.5000, 0.5000], [0.0000, 0.0000, 0.0000], [0.7500, 0.7500, 0.7500], [0.2500, 0.2500, 0.2500]], "spacegroup": "No. 216", "e_tot_ev_per_fu": -18.54, "vol_a3_per_atom": 11.1}

***

Entry 4:
{"formula": "CdBiOs2", "functional": "PBE", "state": "optimized geometry", "cell": [[3.9574, -2.2074, 1.3272], [1.2465, -0.0775, 4.5536], [-0.2518, -4.0295, 2.4484]], "species": ["Bi", "Os", "Os", "Cd"], "frac_coords": [[0.5000, 0.5000, 0.5000], [0.7500, 0.7500, 0.7500], [0.0000, 0.0000, 0.0000], [0.2500, 0.2500, 0.2500]], "spacegroup": "No. 216", "e_tot_ev_per_fu": -23.15, "vol_a3_per_atom": 18.6}

***

Entry 5:
{"formula": "ScAgBi", "functional": "PBE", "state": "optimized geometry", "cell": [[-2.4785, -2.2236, 3.4713], [0.4412, 1.4381, 4.5688], [-3.6489, 2.2578, 2.1737]], "species": ["Bi", "Ag", "Sc"], "frac_coords": [[0.7500, 0.7500, 0.7500], [0.2500, 0.2500, 0.2500], [0.0000, 0.0000, 0.0000]], "spacegroup": "No. 216", "e_tot_ev_per_fu": -13.81, "vol_a3_per_atom": 26.2}

***

Entry 6:
{"formula": "ZrCdCoSi", "functional": "PBE", "state": "optimized geometry", "cell": [[4.2731, 0.7625, 1.2015], [0.9442, 1.4673, 4.1521], [2.0328, -2.7334, 2.9463]], "species": ["Si", "Cd", "Co", "Zr"], "frac_coords": [[0.0000, 0.0000, 0.0000], [0.2500, 0.2500, 0.2500], [0.7500, 0.7500, 0.7500], [0.5000, 0.5000, 0.5000]], "spacegroup": "No. 216", "relative_energy_mev_per_atom": 50.6, "e_tot_ev_per_fu": -21.60, "vol_a3_per_atom": 16.1}

***

Entry 7:
{"formula": "CdCoBr6", "functional": "PBE", "state": "optimized geometry", "cell": [[6.4847, 0.0000, 0.0000], [3.2414, 5.6215, 0.0000], [3.2361, 1.8679, 5.7169]], "species": ["Br", "Br", "Br", "Br", "Br", "Br", "Co", "Cd"], "frac_coords": [[0.8985, 0.2851, 0.2651], [0.4487, 0.1019, 0.7348], [0.1015, 0.7149, 0.7349], [0.2849, 0.5512, 0.2649], [0.5513, 0.8981, 0.2652], [0.7151, 0.4488, 0.7351], [0.5000, 0.5000, 0.5000], [0.0000, 0.0000, 0.0000]], "spacegroup": "No. 2", "e_tot_ev_per_fu": -20.63, "vol_a3_per_atom": 26.1}

***

Entry 8:
{"formula": "FeCuBr2Cl2", "functional": "PBE", "state": "optimized geometry", "cell": [[-4.6526, -1.8807, 3.0008], [3.3139, -4.0750, 2.5755], [1.7774, 6.2012, 1.1642]], "species": ["Cl", "Cl", "Cu", "Br", "Br", "Fe"], "frac_coords": [[0.4168, 0.3670, 0.2534], [0.6297, 0.1650, 0.7499], [0.5017, 0.4910, 0.0001], [0.1138, 0.5954, 0.7465], [0.8472, 0.8805, 0.2501], [0.7407, 0.2511, 0.5000]], "spacegroup": "No. 1", "relative_energy_mev_per_atom": 0.1, "e_tot_ev_per_fu": -22.58, "vol_a3_per_atom": 29.7}

***

Entry 9:
{"formula": "Lu2NiAs", "functional": "PBE", "state": "optimized geometry", "cell": [[-3.0961, -2.3549, 2.8332], [-4.3287, -1.2551, -1.6867], [-1.0001, -4.6291, -0.8536]], "species": ["Ni", "Lu", "Lu", "As"], "frac_coords": [[0.2500, 0.2500, 0.2500], [0.7500, 0.7500, 0.7500], [0.0000, 0.0000, 0.0000], [0.5000, 0.5000, 0.5000]], "spacegroup": "No. 216", "e_tot_ev_per_fu": -19.36, "vol_a3_per_atom": 19.7}

***

Entry 10:
{"formula": "NbReAsC", "functional": "PBE", "state": "optimized geometry", "cell": [[-0.4523, 3.2797, -0.4734], [-0.3291, -1.3089, 3.0600], [11.3365, 1.8539, 2.0121]], "species": ["Nb", "Nb", "C", "C", "Re", "Re", "As", "As"], "frac_coords": [[0.3333, 0.6667, 0.5967], [0.6667, 0.3333, 0.4033], [0.0000, 0.0000, 0.5000], [0.0000, 0.0000, 0.0000], [0.3333, 0.6667, 0.9187], [0.6667, 0.3333, 0.0813], [0.6667, 0.3333, 0.7624], [0.3333, 0.6667, 0.2376]], "spacegroup": "No. 164", "e_tot_ev_per_fu": -36.42, "vol_a3_per_atom": 14.1}

***

Entry 11:
{"formula": "Nd3Dy2Ho", "functional": "PBE", "state": "optimized geometry", "cell": [[5.4248, -3.1312, 0.0000], [5.4248, 3.1312, 0.0000], [0.0000, 0.0000, 11.5986]], "species": ["Dy", "Dy", "Dy", "Dy", "Nd", "Nd", "Nd", "Nd", "Nd", "Nd", "Ho", "Ho"], "frac_coords": [[0.6668, 0.0000, 0.7804], [0.0000, 0.6668, 0.2804], [0.3332, 0.0000, 0.2804], [0.0000, 0.3332, 0.7804], [0.6667, 0.6659, 0.5304], [0.6659, 0.6667, 0.0304], [0.0005, 0.9995, 0.5304], [0.3341, 0.3333, 0.5304], [0.9995, 0.0005, 0.0304], [0.3333, 0.3341, 0.0304], [0.6665, 0.3335, 0.2803], [0.3335, 0.6665, 0.7803]], "spacegroup": "No. 63", "e_tot_ev_per_fu": -28.09, "delta_e_f_ev_per_atom": -0.0039, "vol_a3_per_atom": 32.8}

***

Entry 12:
{"formula": "Lu4ZnC2S", "functional": "PBE", "state": "optimized geometry", "cell": [[-2.8228, -0.3082, 2.1544], [2.5531, -2.4869, 0.0409], [6.5937, 6.9277, 9.6303]], "species": ["Zn", "S", "Lu", "Lu", "Lu", "Lu", "C", "C"], "frac_coords": [[0.6667, 0.3333, 0.0000], [0.3333, 0.6667, 0.5000], [0.3333, 0.6667, 0.8272], [0.3333, 0.6667, 0.1728], [0.6667, 0.3333, 0.3636], [0.6667, 0.3333, 0.6364], [0.0000, 0.0000, 0.7329], [0.0000, 0.0000, 0.2671]], "spacegroup": "No. 187", "e_tot_ev_per_fu": -48.37, "vol_a3_per_atom": 18.7}

***

Entry 13:
{"formula": "LuAsPbO", "functional": "PBE", "state": "optimized geometry", "cell": [[4.6495, 0.0000, 0.0000], [0.0000, 4.6495, 0.0000], [0.0000, 0.0000, 8.4989]], "species": ["As", "As", "Pb", "Pb", "O", "O", "Lu", "Lu"], "frac_coords": [[0.7500, 0.7500, 0.3282], [0.2500, 0.2500, 0.6718], [0.7500, 0.7500, 0.8964], [0.2500, 0.2500, 0.1036], [0.7500, 0.2500, 0.0000], [0.2500, 0.7500, 0.0000], [0.2500, 0.7500, 0.5000], [0.7500, 0.2500, 0.5000]], "spacegroup": "No. 129", "relative_energy_mev_per_atom": 621.0, "e_tot_ev_per_fu": -21.04, "vol_a3_per_atom": 23.0}

***

Entry 14:
{"formula": "PmNdSeO2", "functional": "PBE", "state": "optimized geometry", "cell": [[-0.9776, 1.7039, -3.4494], [0.2346, -3.9538, 0.2646], [-6.7360, -0.2812, 1.7702]], "species": ["Se", "Pm", "O", "O", "Nd"], "frac_coords": [[0.3333, 0.6667, 0.9981], [0.6667, 0.3333, 0.7116], [0.0000, 0.0000, 0.6278], [0.6667, 0.3333, 0.3751], [0.0000, 0.0000, 0.2874]], "spacegroup": "No. 156", "e_tot_ev_per_fu": -38.00, "vol_a3_per_atom": 19.0}

***

Entry 15:
{"formula": "PW4C2S", "functional": "PBE", "state": "optimized geometry", "cell": [[3.2511, 0.0000, 0.0000], [-1.6255, 2.8155, 0.0000], [0.0000, 0.0000, 11.5123]], "species": ["C", "C", "W", "W", "W", "W", "P", "S"], "frac_coords": [[0.6667, 0.3333, 0.7484], [0.6667, 0.3333, 0.2516], [0.3333, 0.6667, 0.1448], [0.0000, 0.0000, 0.3311], [0.3333, 0.6667, 0.8552], [0.0000, 0.0000, 0.6689], [0.0000, 0.0000, 0.0000], [0.3333, 0.6667, 0.5000]], "spacegroup": "No. 187", "e_tot_ev_per_fu": -78.97, "vol_a3_per_atom": 13.2}

***

Entry 16:
{"formula": "ZrInAg3Te4", "functional": "PBE", "state": "optimized geometry", "cell": [[6.5737, 0.0000, 0.0000], [0.0000, 8.6233, 0.0000], [-2.3257, 0.0000, 10.0515]], "species": ["Ag", "Ag", "Ag", "Ag", "Ag", "Ag", "Te", "Te", "Te", "Te", "Te", "Te", "Te", "Te", "Zr", "Zr", "In", "In"], "frac_coords": [[0.6765, 0.2500, 0.7853], [0.7147, 0.0181, 0.9972], [0.7147, 0.4819, 0.9972], [0.2853, 0.5181, 0.0028], [0.2853, 0.9819, 0.0028], [0.3235, 0.7500, 0.2147], [0.5955, 0.4857, 0.2470], [0.1463, 0.7500, 0.4382], [0.4045, 0.5143, 0.7530], [0.8537, 0.2500, 0.5618], [0.5955, 0.0143, 0.2470], [0.9586, 0.7500, 0.9768], [0.4045, 0.9857, 0.7530], [0.0414, 0.2500, 0.0232], [0.1724, 0.2500, 0.7798], [0.8276, 0.7500, 0.2202], [0.6673, 0.7500, 0.5670], [0.3327, 0.2500, 0.4330]], "spacegroup": "No. 11", "relative_energy_mev_per_atom": 27.3, "e_tot_ev_per_fu": -35.17, "vol_a3_per_atom": 31.7}

***

Entry 17:
{"formula": "BaIn2Fe", "functional": "PBE", "state": "optimized geometry", "cell": [[-4.5754, -2.2538, -1.2842], [-3.8682, 2.8978, -2.0744], [-1.3094, -0.5962, -5.0590]], "species": ["Fe", "Ba", "In", "In"], "frac_coords": [[0.5000, 0.5000, 0.5000], [0.7500, 0.7500, 0.7500], [0.2500, 0.2500, 0.2500], [0.0000, 0.0000, 0.0000]], "spacegroup": "No. 216", "e_tot_ev_per_fu": -14.35, "vol_a3_per_atom": 25.7}

***

Entry 18:
{"formula": "HoErGa4Ni2", "functional": "PBE", "state": "optimized geometry", "cell": [[-0.8491, 2.3854, -6.1768], [-4.4216, 2.6538, 1.6326], [-1.0134, 4.9082, 2.0348]], "species": ["Ni", "Ni", "Ga", "Ga", "Ga", "Ga", "Ho", "Er"], "frac_coords": [[0.0000, 0.7105, 0.7105], [0.5000, 0.2893, 0.2893], [0.3033, 0.8570, 0.8570], [0.8038, 0.1432, 0.1432], [0.6967, 0.8570, 0.8570], [0.1962, 0.1432, 0.1432], [0.5000, 0.5721, 0.5721], [0.0000, 0.4277, 0.4277]], "spacegroup": "No. 38", "e_tot_ev_per_fu": -37.65, "vol_a3_per_atom": 17.1}

***

Entry 19:
{"formula": "Ni2BrCl3", "functional": "PBE", "state": "optimized geometry", "cell": [[-5.6200, 2.3835, 0.1419], [-0.2864, -0.8773, 3.3930], [4.2417, 4.4811, 1.5167]], "species": ["Cl", "Cl", "Cl", "Ni", "Ni", "Br"], "frac_coords": [[0.2562, 0.0000, 0.7766], [0.7575, 0.5000, 0.7835], [0.2412, 0.5000, 0.2113], [0.4942, 0.5000, 0.9942], [0.0022, 0.0000, 0.9966], [0.7487, 0.0000, 0.2378]], "spacegroup": "No. 6", "e_tot_ev_per_fu": -21.51, "vol_a3_per_atom": 21.4}

***

Entry 20:
{"formula": "Tb2DyCu4Si4", "functional": "PBE", "state": "optimized geometry", "cell": [[-6.9423, -3.5328, -1.1140], [-6.6768, 3.2370, 2.6190], [6.3804, 0.3912, -4.5885]], "species": ["Dy", "Cu", "Cu", "Cu", "Cu", "Si", "Si", "Si", "Si", "Tb", "Tb"], "frac_coords": [[0.5000, 0.0000, 0.5000], [0.5222, 0.3314, 0.1908], [0.8594, 0.6686, 0.1908], [0.1406, 0.3314, 0.8092], [0.4778, 0.6686, 0.8092], [0.1847, 0.5000, 0.6847], [0.2843, 0.7843, 0.5000], [0.7157, 0.2157, 0.5000], [0.8153, 0.5000, 0.3153], [0.1300, 0.1300, 0.0000], [0.8700, 0.8700, 0.0000]], "spacegroup": "No. 71", "e_tot_ev_per_fu": -57.41, "vol_a3_per_atom": 16.8}